(1)
Entry from Alexandria: a relaxed structure of TaGeSeN2 (PBE).

```
TaGeSeN2
1.0
4.025 0.000 0.000
0.000 4.025 0.000
0.000 0.000 5.383
Ta Ge Se N
1 1 1 2
Direct
0.000 0.000 0.000
0.500 0.500 0.500
0.000 0.000 0.500
0.000 0.500 0.000
0.500 0.000 0.000
```

Computed properties:
Space group ... P4/mmm (123)
DOS(E_F) ... 0.69 states/eV per atom
Raw formation energy ... 0.169 eV per atom
Total energy ... -0.5257 Ry per atom
Energy above the most stable polymorph in this dataset ... 0.000 eV/atom

(2)
Entry from Alexandria: a relaxed structure of TaGeSe2N (PBE).

```
TaGeSe2N
1.0
5.101 0.000 0.000
0.000 5.101 0.000
0.000 0.000 3.473
Ta Ge Se N
1 1 2 1
Direct
0.000 0.000 0.000
0.500 0.500 0.500
0.000 0.500 0.500
0.500 0.000 0.500
0.500 0.500 0.000
```

Computed properties:
Space group ... P4/mmm (123)
DOS(E_F) ... 0.94 states/eV per atom
Raw formation energy ... 0.880 eV per atom
Total energy ... -0.4023 Ry per atom
Energy above the most stable polymorph in this dataset ... 0.896 eV/atom

(3)
Entry from Alexandria: a relaxed structure of TcGeSe2N (PBE).

```
TcGeSe2N
1.0
5.099 0.000 0.000
0.000 5.099 0.000
0.000 0.000 3.708
Tc Ge Se N
1 1 2 1
Direct
0.000 0.000 0.000
0.500 0.500 0.500
0.000 0.500 0.000
0.500 0.000 0.000
0.000 0.000 0.500
```

Computed properties:
Space group ... P4/mmm (123)
DOS(E_F) ... 0.64 states/eV per atom
Raw formation energy ... 0.285 eV per atom
Total energy ... -0.4241 Ry per atom
Energy above the most stable polymorph in this dataset ... 0.000 eV/atom

(4)
Entry from Alexandria: a relaxed structure of TcGeSe2N (PBE).

```
TcGeSe2N
1.0
5.154 0.000 0.000
0.000 5.154 0.000
0.000 0.000 3.493
Tc Ge Se N
1 1 2 1
Direct
0.000 0.000 0.000
0.500 0.500 0.500
0.000 0.500 0.500
0.500 0.000 0.500
0.500 0.500 0.000
```

Computed properties:
Space group ... P4/mmm (123)
DOS(E_F) ... 0.57 states/eV per atom
Raw formation energy ... 1.056 eV per atom
Total energy ... -0.3674 Ry per atom
Energy above the most stable polymorph in this dataset ... 0.771 eV/atom

(5)
Entry from Alexandria: a relaxed structure of ThGeSe2N (PBE).

```
ThGeSe2N
1.0
4.023 0.000 0.000
0.000 4.023 0.000
0.000 0.000 13.283
Th Ge Se N
2 2 4 2
Direct
0.250 0.250 0.092
0.750 0.750 0.908
0.250 0.250 0.602
0.750 0.750 0.398
0.250 0.250 0.390
0.250 0.250 0.792
0.750 0.750 0.208
0.750 0.750 0.610
0.250 0.750 0.000
0.750 0.250 0.000
```

Computed properties:
Space group ... P4/nmm (129)
DOS(E_F) ... 0.61 states/eV per atom
Raw formation energy ... -1.019 eV per atom
Total energy ... -0.4766 Ry per atom

(6)
Entry from Alexandria: a relaxed structure of Tl2GeSeN (PBE).

```
Tl2GeSeN
1.0
5.965 0.000 0.000
0.000 5.965 0.000
0.000 0.000 3.701
Tl Ge Se N
2 1 1 1
Direct
0.000 0.500 0.000
0.500 0.000 0.000
0.000 0.000 0.500
0.500 0.500 0.500
0.000 0.000 0.000
```

Computed properties:
Space group ... P4/mmm (123)
DOS(E_F) ... 0.65 states/eV per atom
Raw formation energy ... 0.396 eV per atom
Total energy ... -0.2819 Ry per atom

(7)
Entry from Alexandria: a relaxed structure of Tm8Ge3Se4N (PBE).

```
Tm8Ge3Se4N
1.0
6.880 -3.971 0.000
6.880 3.971 0.000
-4.588 0.000 6.614
Tm Ge Se N
8 3 4 1
Direct
0.227 0.763 0.717
0.235 0.235 0.725
0.237 0.773 0.283
0.254 0.254 0.260
0.746 0.746 0.740
0.763 0.227 0.717
0.765 0.765 0.275
0.773 0.237 0.283
0.000 0.500 0.500
0.500 0.000 0.500
0.500 0.500 0.500
0.000 0.000 0.000
0.000 0.500 0.000
0.500 0.000 0.000
0.500 0.500 0.000
0.000 0.000 0.500
```

Computed properties:
Space group ... C2/m (12)
DOS(E_F) ... 0.21 states/eV per atom
Raw formation energy ... -1.383 eV per atom
Total energy ... -0.4318 Ry per atom

(8)
Entry from Alexandria: a relaxed structure of VGeSeN2 (PBE).

```
VGeSeN2
1.0
3.702 0.000 0.000
0.000 3.702 0.000
0.000 0.000 5.446
V Ge Se N
1 1 1 2
Direct
0.000 0.000 0.000
0.500 0.500 0.500
0.500 0.500 0.000
0.000 0.500 0.500
0.500 0.000 0.500
```

Computed properties:
Space group ... P4/mmm (123)
DOS(E_F) ... 1.05 states/eV per atom
Raw formation energy ... 1.185 eV per atom
Total energy ... -0.4108 Ry per atom
Energy above the most stable polymorph in this dataset ... 0.866 eV/atom

(9)
Entry from Alexandria: a relaxed structure of VGeSe2N (PBE).

```
VGeSe2N
1.0
5.030 0.000 0.000
0.000 5.030 0.000
0.000 0.000 3.627
V Ge Se N
1 1 2 1
Direct
0.000 0.000 0.000
0.500 0.500 0.500
0.000 0.500 0.000
0.500 0.000 0.000
0.000 0.000 0.500
```

Computed properties:
Space group ... P4/mmm (123)
DOS(E_F) ... 0.40 states/eV per atom
Raw formation energy ... 0.020 eV per atom
Total energy ... -0.4253 Ry per atom
Energy above the most stable polymorph in this dataset ... 0.000 eV/atom

(10)
Entry from Alexandria: a relaxed structure of VGeSeN2 (PBE).

```
VGeSeN2
1.0
3.802 0.000 0.000
0.000 3.802 0.000
0.000 0.000 5.206
V Ge Se N
1 1 1 2
Direct
0.000 0.000 0.000
0.500 0.500 0.500
0.000 0.000 0.500
0.000 0.500 0.000
0.500 0.000 0.000
```

Computed properties:
Space group ... P4/mmm (123)
DOS(E_F) ... 0.57 states/eV per atom
Raw formation energy ... 0.319 eV per atom
Total energy ... -0.4744 Ry per atom
Energy above the most stable polymorph in this dataset ... 0.000 eV/atom

(11)
Entry from Alexandria: a relaxed structure of VGeSe2N (PBE).

```
VGeSe2N
1.0
5.096 0.000 0.000
0.000 5.096 0.000
0.000 0.000 3.538
V Ge Se N
1 1 2 1
Direct
0.000 0.000 0.000
0.500 0.500 0.500
0.000 0.500 0.500
0.500 0.000 0.500
0.500 0.500 0.000
```

Computed properties:
Space group ... P4/mmm (123)
DOS(E_F) ... 0.84 states/eV per atom
Raw formation energy ... 0.866 eV per atom
Total energy ... -0.3631 Ry per atom
Energy above the most stable polymorph in this dataset ... 0.847 eV/atom

(12)
Entry from Alexandria: a relaxed structure of GeWSe2N (PBE).

```
GeWSe2N
1.0
5.113 0.000 0.000
0.000 5.113 0.000
0.000 0.000 3.454
Ge W Se N
1 1 2 1
Direct
0.000 0.000 0.000
0.500 0.500 0.500
0.000 0.500 0.000
0.500 0.000 0.000
0.000 0.000 0.500
```

Computed properties:
Space group ... P4/mmm (123)
DOS(E_F) ... 0.65 states/eV per atom
Raw formation energy ... 1.223 eV per atom
Total energy ... -0.3932 Ry per atom
Energy above the most stable polymorph in this dataset ... 1.004 eV/atom

(13)
Entry from Alexandria: a relaxed structure of GeWSe2N (PBE).

```
GeWSe2N
1.0
5.099 0.000 0.000
0.000 5.099 0.000
0.000 0.000 3.815
Ge W Se N
1 1 2 1
Direct
0.000 0.000 0.000
0.500 0.500 0.500
0.000 0.500 0.500
0.500 0.000 0.500
0.500 0.500 0.000
```

Computed properties:
Space group ... P4/mmm (123)
DOS(E_F) ... 0.34 states/eV per atom
Raw formation energy ... 0.218 eV per atom
Total energy ... -0.4671 Ry per atom
Energy above the most stable polymorph in this dataset ... 0.000 eV/atom

(14)
Entry from Alexandria: a relaxed structure of GeW2SeN (PBE).

```
GeW2SeN
1.0
4.624 0.000 0.000
0.000 4.624 0.000
0.000 0.000 5.042
Ge W Se N
1 2 1 1
Direct
0.000 0.000 0.000
0.000 0.500 0.500
0.500 0.000 0.500
0.000 0.000 0.500
0.500 0.500 0.000
```

Computed properties:
Space group ... P4/mmm (123)
DOS(E_F) ... 1.03 states/eV per atom
Raw formation energy ... 2.750 eV per atom
Total energy ... -0.4202 Ry per atom

(15)
Entry from Alexandria: a relaxed structure of GeWSeN2 (PBE).

```
GeWSeN2
1.0
3.762 0.000 0.000
0.000 3.762 0.000
0.000 0.000 5.002
Ge W Se N
1 1 1 2
Direct
0.000 0.000 0.000
0.500 0.500 0.500
0.000 0.000 0.500
0.000 0.500 0.000
0.500 0.000 0.000
```

Computed properties:
Space group ... P4/mmm (123)
DOS(E_F) ... 0.89 states/eV per atom
Raw formation energy ... 1.700 eV per atom
Total energy ... -0.4293 Ry per atom
Energy above the most stable polymorph in this dataset ... 1.336 eV/atom

(16)
Entry from Alexandria: a relaxed structure of GeWSeN2 (PBE).

```
GeWSeN2
1.0
3.946 0.000 0.000
0.000 3.946 0.000
0.000 0.000 5.263
Ge W Se N
1 1 1 2
Direct
0.000 0.000 0.000
0.500 0.500 0.500
0.500 0.500 0.000
0.000 0.500 0.500
0.500 0.000 0.500
```

Computed properties:
Space group ... P4/mmm (123)
DOS(E_F) ... 0.23 states/eV per atom
Raw formation energy ... 0.365 eV per atom
Total energy ... -0.5275 Ry per atom
Energy above the most stable polymorph in this dataset ... 0.000 eV/atom

(17)
Entry from Alexandria: a relaxed structure of YGeSe2N (PBE).

```
YGeSe2N
1.0
5.153 0.000 0.000
0.000 5.153 0.000
0.000 0.000 3.692
Y Ge Se N
1 1 2 1
Direct
0.000 0.000 0.000
0.500 0.500 0.500
0.000 0.500 0.500
0.500 0.000 0.500
0.500 0.500 0.000
```

Computed properties:
Space group ... P4/mmm (123)
DOS(E_F) ... 0.42 states/eV per atom
Raw formation energy ... -0.226 eV per atom
Total energy ... -0.4044 Ry per atom
Energy above the most stable polymorph in this dataset ... 0.000 eV/atom

(18)
Entry from Alexandria: a relaxed structure of YGeSe2N (PBE).

```
YGeSe2N
1.0
5.518 0.000 0.000
0.000 5.518 0.000
0.000 0.000 4.365
Y Ge Se N
1 1 2 1
Direct
0.000 0.000 0.000
0.500 0.500 0.500
0.000 0.500 0.000
0.500 0.000 0.000
0.000 0.000 0.500
```

Computed properties:
Space group ... P4/mmm (123)
DOS(E_F) ... 0.33 states/eV per atom
Raw formation energy ... 0.178 eV per atom
Total energy ... -0.3746 Ry per atom
Energy above the most stable polymorph in this dataset ... 0.405 eV/atom

(19)
Entry from Alexandria: a relaxed structure of ZrGeSe2N (PBE).

```
ZrGeSe2N
1.0
5.113 0.000 0.000
0.000 5.113 0.000
0.000 0.000 3.559
Zr Ge Se N
1 1 2 1
Direct
0.000 0.000 0.000
0.500 0.500 0.500
0.000 0.500 0.500
0.500 0.000 0.500
0.500 0.500 0.000
```

Computed properties:
Space group ... P4/mmm (123)
DOS(E_F) ... 0.32 states/eV per atom
Raw formation energy ... 0.240 eV per atom
Total energy ... -0.4007 Ry per atom
Energy above the most stable polymorph in this dataset ... 0.282 eV/atom

(20)
Entry from Alexandria: a relaxed structure of ZrGeSe2N (PBE).

```
ZrGeSe2N
1.0
5.354 0.000 0.000
0.000 5.354 0.000
0.000 0.000 4.036
Zr Ge Se N
1 1 2 1
Direct
0.000 0.000 0.000
0.500 0.500 0.500
0.000 0.500 0.000
0.500 0.000 0.000
0.000 0.000 0.500
```

Computed properties:
Space group ... P4/mmm (123)
DOS(E_F) ... 0.46 states/eV per atom
Raw formation energy ... -0.041 eV per atom
Total energy ... -0.4214 Ry per atom
Energy above the most stable polymorph in this dataset ... 0.000 eV/atom